(1)
NiIr2Cl (PBE-GGA, relaxed); total magnetic moment = 0.001 μB per formula unit; formation energy (no corrections) = 0.51 eV/atom; N(E_F) = 1.204 states/eV/atom; ΔE to the lowest computed polymorph = 214 meV/atom
1.0
2.752 0.000 0.000
0.000 3.863 0.000
0.000 0.000 11.678
Ni Ir Cl
2 4 2
Direct
0.000 0.000 0.000
0.500 0.500 0.500
0.000 0.500 0.293
0.000 0.500 0.707
0.500 0.000 0.207
0.500 0.000 0.793
0.000 0.000 0.500
0.500 0.500 0.000

(2)
NiIr2Cl (PBE-GGA, relaxed); total magnetic moment = 0.027 μB per formula unit; formation energy (no corrections) = 0.62 eV/atom; N(E_F) = 1.632 states/eV/atom; ΔE to the lowest computed polymorph = 324 meV/atom
1.0
2.721 0.000 0.000
0.000 4.906 0.000
0.000 0.000 8.696
Ni Ir Cl
2 4 2
Direct
0.000 0.000 0.000
0.500 0.500 0.000
0.000 0.500 0.243
0.000 0.500 0.757
0.500 0.000 0.243
0.500 0.000 0.757
0.000 0.000 0.500
0.500 0.500 0.500

Question: Number 1 is which compound?
Answer: NiIr2Cl

Question: Look up the ΔE to the lowest computed polymorph of the first one.
Answer: 214 meV/atom